Record 1
# LiReBr2 PBE optimized geometry
# ΔE_f (raw) (eV per atom): 0.315
# Total moment (Bohr magnetons per cell): 0.16
# Offset from the most stable computed form (meV per atom): 176.4
data_LiReBr2
_chemical_formula_sum 'Li1 Re1 Br2'
_cell_length_a 3.273
_cell_length_b 5.315
_cell_length_c 4.769
_cell_angle_alpha 90.00
_cell_angle_beta 109.96
_cell_angle_gamma 90.00
_space_group_name_H-M_alt 'P 1 m 1'
_space_group_IT_number 6
_space_group_name_Hall 'P -2y'
loop_
_atom_site_label
_atom_site_type_symbol
_atom_site_fract_x
_atom_site_fract_y
_atom_site_fract_z
Li1 Li 0.000 0.000 0.000
Re1 Re 0.341 0.500 0.682
Br1 Br 0.296 0.000 0.588
Br2 Br 0.622 0.500 0.240

***

Record 2
# Ho6Pd2Pb PBE optimized geometry
# E_form (eV/atom): -0.5491
# Total moment (Bohr magnetons per cell): 0.00
data_Ho6Pd2Pb
_chemical_formula_sum 'Ho24 Pd8 Pb4'
_cell_length_a 9.433
_cell_length_b 9.804
_cell_length_c 10.467
_cell_angle_alpha 90.00
_cell_angle_beta 90.00
_cell_angle_gamma 90.00
_space_group_name_H-M_alt 'I m m m'
_space_group_IT_number 71
_space_group_name_Hall '-I 2 2'
loop_
_atom_site_label
_atom_site_type_symbol
_atom_site_fract_x
_atom_site_fract_y
_atom_site_fract_z
Ho1 Ho 0.000 0.203 0.235
Ho2 Ho 0.197 0.500 0.173
Ho3 Ho 0.208 0.317 0.500
Pd1 Pd 0.000 0.346 0.000
Pd2 Pd 0.000 0.500 0.368
Pb1 Pb 0.000 0.000 0.000
Pb2 Pb 0.000 0.000 0.500

***

Record 3
# Ca3HPd PBE optimized geometry
# Total moment (Bohr magnetons per cell): 0.00
# Offset from the most stable computed form (meV per atom): 108.7
data_Ca3HPd
_chemical_formula_sum 'Ca3 H1 Pd1'
_cell_length_a 4.818
_cell_length_b 4.818
_cell_length_c 4.818
_cell_angle_alpha 90.00
_cell_angle_beta 90.00
_cell_angle_gamma 90.00
_space_group_name_H-M_alt 'P m -3 m'
_space_group_IT_number 221
_space_group_name_Hall '-P 4 2 3'
loop_
_atom_site_label
_atom_site_type_symbol
_atom_site_fract_x
_atom_site_fract_y
_atom_site_fract_z
Ca1 Ca 0.000 0.000 0.500
H1 H 0.000 0.000 0.000
Pd1 Pd 0.500 0.500 0.500

***

Record 4
# Dy5Zn2Pd2 PBE optimized geometry
# E_form (eV/atom): -0.4877
# Total moment (Bohr magnetons per cell): 0.00
data_Dy5Zn2Pd2
_chemical_formula_sum 'Dy20 Zn8 Pd8'
_cell_length_a 15.674
_cell_length_b 7.353
_cell_length_c 7.604
_cell_angle_alpha 90.00
_cell_angle_beta 90.00
_cell_angle_gamma 90.00
_space_group_name_H-M_alt 'C m c e'
_space_group_IT_number 64
_space_group_name_Hall '-C 2ac 2'
loop_
_atom_site_label
_atom_site_type_symbol
_atom_site_fract_x
_atom_site_fract_y
_atom_site_fract_z
Dy1 Dy 0.000 0.000 0.000
Dy2 Dy 0.135 0.176 0.327
Zn1 Zn 0.213 0.000 0.000
Pd1 Pd 0.000 0.128 0.632

***

Record 5
# SmAsPt4 PBE optimized geometry
# E_form (eV/atom): -0.5629
# Total moment (Bohr magnetons per cell): 0.00
# Offset from the most stable computed form (meV per atom): 72.1
data_SmAsPt4
_chemical_formula_sum 'Sm4 As4 Pt16'
_cell_length_a 7.640
_cell_length_b 7.640
_cell_length_c 7.640
_cell_angle_alpha 90.00
_cell_angle_beta 90.00
_cell_angle_gamma 90.00
_space_group_name_H-M_alt 'F -4 3 m'
_space_group_IT_number 216
_space_group_name_Hall 'F -4 2 3'
loop_
_atom_site_label
_atom_site_type_symbol
_atom_site_fract_x
_atom_site_fract_y
_atom_site_fract_z
Sm1 Sm 0.000 0.000 0.000
As1 As 0.250 0.250 0.750
Pt1 Pt 0.125 0.125 0.375

***

Record 6
# Pb3W PBE optimized geometry
# E_form (eV/atom): 0.7929
# Total moment (Bohr magnetons per cell): 0.00
# Offset from the most stable computed form (meV per atom): 335.0
data_Pb3W
_chemical_formula_sum 'Pb6 W2'
_cell_length_a 3.157
_cell_length_b 6.705
_cell_length_c 10.417
_cell_angle_alpha 90.00
_cell_angle_beta 90.00
_cell_angle_gamma 90.00
_space_group_name_H-M_alt 'P m m n'
_space_group_IT_number 59
loop_
_space_group_symop_operation_xyz
'x,y,z'
'-x,-y,-z'
'-x+1/2,-y+1/2,z'
'x+1/2,y+1/2,-z'
'x+1/2,-y,-z'
'-x+1/2,y,z'
'-x,y+1/2,-z'
'x,-y+1/2,z'
loop_
_atom_site_label
_atom_site_type_symbol
_atom_site_fract_x
_atom_site_fract_y
_atom_site_fract_z
Pb1 Pb 0.250 0.009 0.155
Pb2 Pb 0.250 0.750 0.564
W1 W 0.250 0.250 0.675

***

Record 7
# RePOs2 PBE optimized geometry
# E_form (eV/atom): 0.4188
# Total moment (Bohr magnetons per cell): 0.00
data_RePOs2
_chemical_formula_sum 'Re1 P1 Os2'
_cell_length_a 2.856
_cell_length_b 4.432
_cell_length_c 4.484
_cell_angle_alpha 90.00
_cell_angle_beta 90.00
_cell_angle_gamma 90.00
_space_group_name_H-M_alt 'P m m m'
_space_group_IT_number 47
_space_group_name_Hall '-P 2 2'
loop_
_atom_site_label
_atom_site_type_symbol
_atom_site_fract_x
_atom_site_fract_y
_atom_site_fract_z
Re1 Re 0.000 0.000 0.000
P1 P 0.500 0.000 0.500
Os1 Os 0.000 0.500 0.500
Os2 Os 0.500 0.500 0.000

***

Record 8
# KCuN3 PBE optimized geometry
# ΔE_f (raw) (eV per atom): 1.882
# Total moment (Bohr magnetons per cell): 0.00
data_KCuN3
_chemical_formula_sum 'K1 Cu1 N3'
_cell_length_a 3.922
_cell_length_b 3.922
_cell_length_c 3.922
_cell_angle_alpha 90.00
_cell_angle_beta 90.00
_cell_angle_gamma 90.00
_space_group_name_H-M_alt 'P m -3 m'
_space_group_IT_number 221
_space_group_name_Hall '-P 4 2 3'
loop_
_atom_site_label
_atom_site_type_symbol
_atom_site_fract_x
_atom_site_fract_y
_atom_site_fract_z
K1 K 0.000 0.000 0.000
Cu1 Cu 0.500 0.500 0.500
N1 N 0.000 0.500 0.500